DFT (PBE) results for ErZnNi3 after structural relaxation.

Results
- DOS(E_F) (states/eV/f.u.) = 3.46
- DFT total energy (eV/atom) = -4.49
- symmetry = Pbam, No. 55
- V (Å³ per atom) = 16.79
- density (Mg/m³) = 8.1

a b c (Å): 4.381 5.379 7.127
angles (deg): 90.00 90.00 90.00
Sites, in units of the cell vectors:
Er (0.500, 0.000, 0.000)
Er (0.500, 0.500, 0.500)
Zn (0.000, 0.500, 0.000)
Zn (0.000, 0.000, 0.500)
Ni (0.500, 0.500, 0.000)
Ni (0.500, 0.000, 0.500)
Ni (0.000, 0.748, 0.251)
Ni (0.000, 0.248, 0.249)
Ni (0.000, 0.252, 0.749)
Ni (0.000, 0.752, 0.751)


DFT (PBE) results for Er5ZnNi2 after structural relaxation.

Results
- DOS(E_F) (states/eV/f.u.) = 8.77
- DFT total energy (eV/atom) = -4.78
- symmetry = I4/mcm, No. 140
- V (Å³ per atom) = 22.94
- density (Mg/m³) = 9.2

a b c (Å): 7.548 7.548 8.367
angles (deg): 116.81 116.81 90.00
Sites, in units of the cell vectors:
Er (0.524, 0.700, 0.724)
Er (0.800, 0.976, 0.276)
Er (0.000, 0.000, 0.000)
Er (0.500, 0.500, 0.000)
Er (0.200, 0.024, 0.724)
Er (0.700, 0.200, 0.724)
Er (0.024, 0.524, 0.724)
Er (0.300, 0.800, 0.276)
Er (0.976, 0.476, 0.276)
Er (0.476, 0.300, 0.276)
Zn (0.750, 0.750, 0.500)
Zn (0.250, 0.250, 0.500)
Ni (0.127, 0.373, 0.000)
Ni (0.627, 0.127, 0.000)
Ni (0.373, 0.873, 0.000)
Ni (0.873, 0.627, 0.000)


DFT (PBE) results for ErZn3Ni after structural relaxation.

Results
- DOS(E_F) (states/eV/f.u.) = 2.91
- offset from the most stable computed form (meV/atom) = 29
- DFT total energy (eV/atom) = -3.14
- symmetry = Cmcm, No. 63
- V (Å³ per atom) = 16.75
- density (Mg/m³) = 8.4

a b c (Å): 4.245 5.129 7.979
angles (deg): 90.00 105.39 90.00
Sites, in units of the cell vectors:
Er (0.081, 0.750, 0.662)
Er (0.919, 0.250, 0.338)
Zn (0.704, 0.501, 0.907)
Zn (0.296, 0.499, 0.093)
Zn (0.704, 0.999, 0.907)
Zn (0.296, 0.001, 0.093)
Zn (0.444, 0.750, 0.387)
Zn (0.556, 0.250, 0.613)
Ni (0.852, 0.750, 0.202)
Ni (0.148, 0.250, 0.798)


DFT (PBE) results for Er6ZnNi2 after structural relaxation.

Results
- DOS(E_F) (states/eV/f.u.) = 9.20
- DFT total energy (eV/atom) = -4.78
- symmetry = Immm, No. 71
- V (Å³ per atom) = 23.73
- density (Mg/m³) = 9.2

a b c (Å): 8.225 8.225 8.225
angles (deg): 106.42 109.97 112.08
Sites, in units of the cell vectors:
Er (0.538, 0.718, 0.820)
Er (0.462, 0.282, 0.180)
Er (0.102, 0.282, 0.820)
Er (0.898, 0.718, 0.180)
Er (0.807, 0.761, 0.568)
Er (0.193, 0.239, 0.432)
Er (0.193, 0.761, 0.955)
Er (0.807, 0.239, 0.045)
Er (0.693, 0.368, 0.674)
Er (0.307, 0.632, 0.326)
Er (0.307, 0.981, 0.674)
Er (0.693, 0.019, 0.326)
Zn (0.000, 0.500, 0.500)
Zn (0.000, 0.000, 0.000)
Ni (0.500, 0.379, 0.879)
Ni (0.500, 0.621, 0.121)
Ni (0.654, 0.000, 0.654)
Ni (0.346, 0.000, 0.346)


DFT (PBE) results for ErZn10Ni2 after structural relaxation.

Results
- DOS(E_F) (states/eV/f.u.) = 5.26
- offset from the most stable computed form (meV/atom) = 23
- DFT total energy (eV/atom) = -2.44
- symmetry = Fmmm, No. 69
- V (Å³ per atom) = 15.02
- density (Mg/m³) = 8.0

a b c (Å): 5.005 6.688 6.770
angles (deg): 82.05 68.31 68.03
Sites, in units of the cell vectors:
Er (0.000, 0.000, 0.000)
Zn (0.347, 0.638, 0.669)
Zn (0.653, 0.362, 0.331)
Zn (0.985, 0.362, 0.669)
Zn (0.015, 0.638, 0.331)
Zn (0.000, 0.000, 0.500)
Zn (0.500, 0.000, 0.500)
Zn (0.284, 0.223, 0.208)
Zn (0.716, 0.777, 0.792)
Zn (0.507, 0.777, 0.208)
Zn (0.493, 0.223, 0.792)
Ni (0.000, 0.500, 0.000)
Ni (0.500, 0.500, 0.000)


DFT (PBE) results for Er12ZnNi6 after structural relaxation.

Results
- DOS(E_F) (states/eV/f.u.) = 23.49
- offset from the most stable computed form (meV/atom) = 0
- DFT total energy (eV/atom) = -5.11
- symmetry = Im-3, No. 204
- V (Å³ per atom) = 22.93
- density (Mg/m³) = 9.2

a b c (Å): 8.272 8.272 8.272
angles (deg): 109.47 109.47 109.47
Sites, in units of the cell vectors:
Er (0.300, 0.114, 0.814)
Er (0.300, 0.487, 0.186)
Er (0.700, 0.513, 0.814)
Er (0.700, 0.886, 0.186)
Er (0.114, 0.814, 0.300)
Er (0.487, 0.186, 0.300)
Er (0.513, 0.814, 0.700)
Er (0.886, 0.186, 0.700)
Er (0.814, 0.300, 0.114)
Er (0.186, 0.300, 0.487)
Er (0.814, 0.700, 0.513)
Er (0.186, 0.700, 0.886)
Zn (0.000, 0.000, 0.000)
Ni (0.375, 0.500, 0.875)
Ni (0.625, 0.500, 0.125)
Ni (0.500, 0.875, 0.375)
Ni (0.500, 0.125, 0.625)
Ni (0.875, 0.375, 0.500)
Ni (0.125, 0.625, 0.500)